[1]
Below is a relaxed Tl5Ga3I12 crystal, with properties calculated at the PBE level.

The structure in extended XYZ format:
```
80
Lattice="-9.802 9.802 9.802 9.802 -9.802 9.802 9.802 9.802 -9.802" Properties=species:S:1:pos:R:3 pbc="T T T"
Tl 0.000 0.000 0.000
Tl 4.901 4.901 -4.901
Tl 4.901 -4.901 4.901
Tl 9.802 0.000 0.000
Tl 14.703 2.451 0.000
Tl 9.802 -4.901 7.352
Tl 7.352 9.802 -4.901
Tl 7.352 0.000 4.901
Tl 4.901 7.352 0.000
Tl 9.802 4.901 2.451
Tl -4.901 4.901 4.901
Tl 0.000 9.802 0.000
Tl 0.000 0.000 9.802
Tl 4.901 4.901 4.901
Tl 0.000 4.901 7.352
Tl 4.901 2.451 9.802
Tl 2.451 9.802 4.901
Tl 2.451 0.000 14.703
Tl 0.000 14.703 2.451
Tl -4.901 7.352 9.802
Ga 4.901 2.451 0.000
Ga 9.802 4.901 -2.451
Ga 2.451 0.000 4.901
Ga 12.253 0.000 4.901
Ga 0.000 4.901 2.451
Ga 4.901 -2.451 9.802
Ga 4.901 12.253 0.000
Ga 9.802 4.901 7.352
Ga -2.451 9.802 4.901
Ga 7.352 9.802 4.901
Ga 0.000 4.901 12.253
Ga 4.901 7.352 9.802
I 3.066 -0.506 1.369
I 11.637 6.270 -5.407
I 9.297 -1.369 3.066
I 15.209 -1.835 3.532
I 12.868 0.506 1.369
I 11.637 -3.532 5.407
I 1.369 3.066 -0.506
I 13.335 4.396 -1.835
I 6.270 5.407 -1.835
I 8.433 3.066 0.506
I -0.506 1.369 3.066
I 5.407 -1.835 6.270
I 9.297 8.433 -3.066
I 5.407 1.835 3.532
I 8.433 -3.066 9.297
I 6.270 -5.407 11.637
I 3.532 5.407 1.835
I 11.171 6.736 0.506
I 3.066 9.297 -1.369
I 11.637 3.532 4.396
I 5.407 11.637 -3.532
I 9.297 1.369 6.736
I 1.835 3.532 5.407
I 3.066 0.506 8.433
I 6.736 9.297 1.369
I 7.967 6.270 4.396
I 0.506 8.433 3.066
I 4.396 -1.835 13.335
I -1.835 6.270 5.407
I 6.736 0.506 11.171
I -1.369 3.066 9.297
I 6.270 4.396 7.967
I 3.532 15.209 -1.835
I 1.369 12.868 0.506
I 4.396 7.967 6.270
I 0.506 1.369 12.868
I 4.396 11.637 3.532
I 10.308 8.433 6.736
I 1.369 6.736 9.297
I 3.532 4.396 11.637
I -3.532 5.407 11.637
I 8.433 6.736 10.308
I -1.835 13.335 4.396
I -3.066 9.297 8.433
I -5.407 11.637 6.270
I 0.506 11.171 6.736
I -1.835 3.532 15.209
I 6.736 10.308 8.433
```

Calculated values
* total energy: -2.29 eV/atom
* E_form (uncorrected): -310.0 meV/atom

---

[2]
Below is a relaxed Rb2AuSI6 crystal, with properties calculated at the PBE level.

The structure in extended XYZ format:
```
10
Lattice="-4.060 4.060 6.018 4.060 -4.060 6.018 4.060 4.060 -6.018" Properties=species:S:1:pos:R:3 pbc="T T T"
Rb 4.060 0.000 3.009
Rb 0.000 4.060 3.009
Au 0.000 0.000 0.000
S 0.000 0.000 6.018
I 0.000 0.000 2.713
I 2.104 2.104 0.000
I 1.955 -1.955 6.018
I -1.955 1.955 6.018
I 1.955 1.955 6.018
I 0.000 0.000 9.322
```

Calculated values
* total energy: -2.41 eV/atom
* E_form (uncorrected): -546.1 meV/atom

---

[3]
Below is a relaxed Tb2NdSmEr crystal, with properties calculated at the PBE level.

The structure in extended XYZ format:
```
10
Lattice="4.214 -5.780 0.000 4.214 5.780 0.000 0.000 0.000 7.182" Properties=species:S:1:pos:R:3 pbc="T T T"
Tb 1.585 0.000 0.000
Tb 1.585 0.000 3.591
Tb 6.844 0.000 0.000
Tb 6.844 0.000 3.591
Nd 4.214 3.146 5.387
Nd 4.214 -3.146 1.796
Sm 4.214 0.052 5.387
Sm 4.214 -0.052 1.796
Er 4.214 3.187 1.796
Er 4.214 -3.187 5.387
```

Calculated values
* total energy: -4.27 eV/atom
* formation enthalpy at 0 K: 0.391 eV/atom

---

[4]
Below is a relaxed LiLa2CuIr2 crystal, with properties calculated at the PBE level.

The structure in extended XYZ format:
```
12
Lattice="-2.888 7.383 2.885 2.888 -7.383 2.885 2.888 7.383 -2.885" Properties=species:S:1:pos:R:3 pbc="T T T"
Li 0.000 0.000 1.442
Li 0.000 0.000 4.327
La 4.328 2.437 0.000
La 1.439 4.946 0.000
La 1.449 2.437 2.885
La -1.439 4.946 2.885
Cu 2.888 0.000 1.442
Cu 0.000 7.383 1.442
Ir 1.465 1.782 0.000
Ir 1.465 -1.782 2.885
Ir 1.424 9.166 0.000
Ir 1.424 5.601 2.885
```

Calculated values
* total energy: -6.08 eV/atom
* formation enthalpy at 0 K: -0.483 eV/atom

---

[5]
Below is a relaxed Pu6InGe2 crystal, with properties calculated at the PBE level.

The structure in extended XYZ format:
```
9
Lattice="8.826 0.000 0.000 -4.413 7.643 0.000 0.000 0.000 3.182" Properties=species:S:1:pos:R:3 pbc="T T T"
Pu -1.497 2.592 0.000
Pu -2.916 5.051 0.000
Pu 2.994 0.000 0.000
Pu 1.497 2.592 0.000
Pu 5.832 0.000 0.000
Pu 2.916 5.051 0.000
In 0.000 0.000 1.591
Ge 0.000 5.095 1.591
Ge 4.413 2.548 1.591
```

Calculated values
* total energy: -10.95 eV/atom
* formation enthalpy at 0 K: -0.065 eV/atom

---

[6]
Below is a relaxed YZrScIn crystal, with properties calculated at the PBE level.

The structure in extended XYZ format:
```
16
Lattice="7.370 0.000 0.000 0.000 7.370 0.000 0.000 0.000 7.370" Properties=species:S:1:pos:R:3 pbc="T T T"
Y 0.000 0.000 0.000
Y 0.000 3.685 3.685
Y 3.685 0.000 3.685
Y 3.685 3.685 0.000
Zr 1.842 1.842 5.527
Zr 1.842 5.527 1.842
Zr 5.527 1.842 1.842
Zr 5.527 5.527 5.527
Sc 0.000 0.000 3.685
Sc 0.000 3.685 0.000
Sc 3.685 0.000 0.000
Sc 3.685 3.685 3.685
In 1.842 1.842 1.842
In 1.842 5.527 5.527
In 5.527 1.842 5.527
In 5.527 5.527 1.842
```

Calculated values
* total energy: -6.12 eV/atom
* formation enthalpy at 0 K: -0.095 eV/atom

---

[7]
Below is a relaxed Sc2AgRh crystal, with properties calculated at the PBE level.

The structure in extended XYZ format:
```
4
Lattice="3.214 0.000 0.000 0.000 3.393 0.000 -0.015 0.000 6.787" Properties=species:S:1:pos:R:3 pbc="T T T"
Sc -0.002 0.000 1.569
Sc 3.201 0.000 5.218
Ag 1.599 1.697 3.394
Rh 1.607 1.697 0.000
```

Calculated values
* total energy: -6.36 eV/atom
* formation enthalpy at 0 K: -0.646 eV/atom

---

[8]
Below is a relaxed Pr3Ho6Th2 crystal, with properties calculated at the PBE level.

The structure in extended XYZ format:
```
11
Lattice="3.091 -5.359 0.000 3.091 5.359 0.000 -2.088 0.000 11.389" Properties=species:S:1:pos:R:3 pbc="T T T"
Pr 0.000 0.000 0.000
Pr 3.091 1.764 0.000
Pr 3.091 -1.764 0.000
Ho 1.023 1.785 2.937
Ho -0.021 0.000 8.458
Ho 1.023 -1.785 2.937
Ho 3.071 1.785 8.453
Ho 4.115 0.000 2.932
Ho 3.071 -1.785 8.453
Th 2.047 3.583 5.695
Th 2.047 -3.583 5.695
```

Calculated values
* total energy: -4.94 eV/atom
* formation enthalpy at 0 K: 0.214 eV/atom